Crystalline FeHW3 at its relaxed geometry. Source: Alexandria, functional PBE.

The space group is Pm-3m (No. 221) and the conventional cell measures 4.4599, 4.4599 and 4.4599 Å, with angles of 90.00, 90.00 and 90.00 degrees. The inequivalent atoms are Fe at (0.0000, 0.0000, 0.0000), H at (0.5000, 0.5000, 0.5000) and W at (0.0000, 0.0000, 0.5000).

The density of states at the Fermi level comes out at 1.0242 states/eV/atom. For the energy above the most stable polymorph in this dataset, the calculation gives 1799.6 meV/atom.

Crystalline Fe2H2W at its relaxed geometry. Source: Alexandria, functional PBE.

The space group is I4/mmm (No. 139) and the conventional cell measures 2.7211, 2.7211 and 11.7447 Å, with angles of 90.00, 90.00 and 90.00 degrees. The inequivalent atoms are Fe at (0.0000, 0.0000, 0.1599), H at (0.0000, 0.5000, 0.2500) and W at (0.0000, 0.0000, 0.5000).

The density of states at the Fermi level comes out at 0.7347 states/eV/atom. For the energy above the most stable polymorph in this dataset, the calculation gives 0.0 meV/atom.

Crystalline YFeH2 at its relaxed geometry. Source: Alexandria, functional PBE.

The space group is Fm-3m (No. 225) and the conventional cell measures 5.5348, 5.5348 and 5.5348 Å, with angles of 90.00, 90.00 and 90.00 degrees. The inequivalent atoms are Y at (0.0000, 0.0000, 0.0000), Fe at (0.0000, 0.0000, 0.5000) and H at (0.2500, 0.2500, 0.2500).

The density of states at the Fermi level comes out at 1.3195 states/eV/atom. For the energy above the most stable polymorph in this dataset, the calculation gives 399.3 meV/atom.

Crystalline YFe2H2 at its relaxed geometry. Source: Alexandria, functional PBE.

The space group is I4/mmm (No. 139) and the conventional cell measures 3.3740, 3.3740 and 9.7484 Å, with angles of 90.00, 90.00 and 90.00 degrees. The inequivalent atoms are Y at (0.0000, 0.0000, 0.0000), Fe at (0.0000, 0.0000, 0.3163) and H at (0.0000, 0.5000, 0.2500).

The density of states at the Fermi level comes out at 0.5339 states/eV/atom. As for the raw total energy: -6.0195 eV per atom.

Crystalline YFeH3 at its relaxed geometry. Source: Alexandria, functional PBE.

The space group is Pm-3m (No. 221) and the conventional cell measures 3.5177, 3.5177 and 3.5177 Å, with angles of 90.00, 90.00 and 90.00 degrees. The inequivalent atoms are Y at (0.0000, 0.0000, 0.0000), Fe at (0.5000, 0.5000, 0.5000) and H at (0.0000, 0.5000, 0.5000).

The density of states at the Fermi level comes out at 0.2023 states/eV/atom. As for the raw total energy: -5.3794 eV per atom.

Crystalline Y12Fe3H5 at its relaxed geometry. Source: Alexandria, functional PBE.

The space group is Ia-3d (No. 230) and the conventional cell measures 14.9661, 14.9661 and 14.9661 Å, with angles of 90.00, 90.00 and 90.00 degrees. The inequivalent atoms are Y at (0.0319, 0.0622, 0.6563), Fe at (0.0000, 0.2500, 0.1250), H at (0.0000, 0.0000, 0.0000) and H at (0.0000, 0.2500, 0.3750).

The density of states at the Fermi level comes out at 0.6247 states/eV/atom. As for the raw total energy: -6.1148 eV per atom.

Crystalline YFeH3 at its relaxed geometry. Source: Alexandria, functional PBE.

The space group is Pm-3m (No. 221) and the conventional cell measures 3.9930, 3.9930 and 3.9930 Å, with angles of 90.00, 90.00 and 90.00 degrees. The inequivalent atoms are Y at (0.0000, 0.0000, 0.0000), Fe at (0.5000, 0.5000, 0.5000) and H at (0.0000, 0.0000, 0.5000).

The density of states at the Fermi level comes out at 1.0075 states/eV/atom. As for the raw total energy: -4.6006 eV per atom.

Crystalline YFeH2 at its relaxed geometry. Source: Alexandria, functional PBE.

The space group is I-42d (No. 122) and the conventional cell measures 4.2249, 4.2249 and 9.9663 Å, with angles of 90.00, 90.00 and 90.00 degrees. The inequivalent atoms are Y at (0.0000, 0.0000, 0.0000), Fe at (0.0000, 0.0000, 0.5000) and H at (0.1258, 0.2500, 0.6250).

The density of states at the Fermi level comes out at 0.3129 states/eV/atom. For the energy above the most stable polymorph in this dataset, the calculation gives 0.0 meV/atom.